# BaSr2Al6 | Alexandria | GGA-PBE | relaxed
# Energy above the lowest structure with this stoichiometry: 0.0 meV/atom
data_BaSr2Al6
_cell_length_a 7.847
_cell_length_b 13.572
_cell_length_c 4.965
_cell_angle_alpha 90.00
_cell_angle_beta 90.00
_cell_angle_gamma 90.00
_symmetry_space_group_name_H-M 'C m m m'
_symmetry_Int_Tables_number 65
_symmetry_space_group_name_Hall '-C 2 2'
loop_
_atom_site_label
_atom_site_type_symbol
_atom_site_fract_x
_atom_site_fract_y
_atom_site_fract_z
Ba1 Ba 0.000 0.000 0.000
Sr1 Sr 0.000 0.333 0.000
Al1 Al 0.164 0.500 0.500
Al2 Al 0.168 0.168 0.500